# 1
{"formula": "MnNbTlCl2", "functional": "PBE", "state": "optimized geometry", "spacegroup": "P4/mmm", "mass_density_g_cm3": 6.256, "formation_energy_uncorrected_ev_per_atom": 0.84, "lattice_angstrom": [[4.336, 0.000, 0.000], [0.000, 5.973, 0.000], [0.000, 0.000, 4.336]], "species": ["Nb", "Cl", "Cl", "Mn", "Tl"], "fractional_positions": [[0.500, 0.500, 0.500], [0.000, 0.000, 0.500], [0.500, 0.000, 0.000], [0.000, 0.000, 0.000], [0.000, 0.500, 0.000]]}


# 2
{"formula": "InMoPb2", "functional": "PBE", "state": "optimized geometry", "spacegroup": "P4mm", "e_form_ev_per_atom": 0.463, "mass_density_g_cm3": 10.465, "lattice_angstrom": [[-1.039, -1.293, -2.821], [2.211, -2.397, 0.284], [-6.162, -5.135, 4.624]], "species": ["In", "Pb", "Pb", "Mo"], "fractional_positions": [[0.000, 0.000, 0.547], [0.500, 0.500, 0.267], [0.000, 0.000, 0.950], [0.500, 0.500, 0.736]]}


# 3
{"formula": "Ni2MoPd4", "functional": "PBE", "state": "optimized geometry", "spacegroup": "Fmm2", "e_form_ev_per_atom": 0.231, "mass_density_g_cm3": 10.166, "lattice_angstrom": [[4.012, 1.078, -2.999], [-0.247, 4.147, -2.999], [-0.082, -0.114, 6.306]], "species": ["Ni", "Ni", "Pd", "Pd", "Pd", "Pd", "Mo"], "fractional_positions": [[0.231, 0.769, 0.500], [0.731, 0.269, 0.500], [0.304, 0.301, 0.000], [0.699, 0.696, 0.000], [0.701, 0.754, 0.455], [0.246, 0.299, 0.545], [0.088, 0.912, 0.000]]}


# 4
{"formula": "Nd4Al", "functional": "PBE", "state": "optimized geometry", "spacegroup": "Pm-3m", "e_form_ev_per_atom": 0.291, "mass_density_g_cm3": 5.295, "polymorph_energy_ev_per_atom": 0.2266, "lattice_angstrom": [[5.743, 0.000, 0.000], [0.000, 5.743, 0.000], [0.000, 0.000, 5.743]], "species": ["Al", "Nd", "Nd", "Nd", "Nd"], "fractional_positions": [[0.500, 0.500, 0.500], [0.000, 0.000, 0.000], [0.500, 0.000, 0.500], [0.000, 0.500, 0.500], [0.500, 0.500, 0.000]]}


# 5
{"formula": "Cs2CrIBr6", "functional": "PBE", "state": "optimized geometry", "spacegroup": "I4/mmm", "mass_density_g_cm3": 3.797, "formation_energy_uncorrected_ev_per_atom": -0.96, "lattice_angstrom": [[8.642, 0.000, 0.000], [0.000, 8.642, 0.000], [4.321, 4.321, 5.411]], "species": ["Br", "Br", "Br", "Br", "Br", "Br", "I", "Cs", "Cs", "Cr"], "fractional_positions": [[0.747, 0.747, 0.507], [0.297, 0.297, 0.000], [0.253, 0.253, 0.493], [0.297, 0.703, 0.000], [0.703, 0.297, 0.000], [0.703, 0.703, 0.000], [0.000, 0.000, 0.000], [0.250, 0.750, 0.500], [0.750, 0.250, 0.500], [0.500, 0.500, 0.000]]}


# 6
{"formula": "Tm5Si2Sn2", "functional": "PBE", "state": "optimized geometry", "spacegroup": "Cmce", "mass_density_g_cm3": 8.464, "formation_energy_uncorrected_ev_per_atom": -0.72, "lattice_angstrom": [[7.266, 0.000, 2.637], [0.000, 7.692, 0.000], [1.069, 0.000, 8.380]], "species": ["Si", "Si", "Si", "Si", "Tm", "Tm", "Tm", "Tm", "Tm", "Tm", "Tm", "Tm", "Tm", "Tm", "Sn", "Sn", "Sn", "Sn"], "fractional_positions": [[0.624, 0.125, 0.000], [0.124, 0.375, 0.000], [0.876, 0.625, 0.000], [0.376, 0.875, 0.000], [0.453, 0.173, 0.746], [0.953, 0.327, 0.746], [0.000, 0.000, 0.000], [0.500, 0.500, 0.000], [0.047, 0.673, 0.254], [0.801, 0.827, 0.746], [0.199, 0.173, 0.254], [0.301, 0.673, 0.746], [0.699, 0.327, 0.254], [0.547, 0.827, 0.254], [0.788, 0.000, 0.424], [0.288, 0.500, 0.424], [0.712, 0.500, 0.576], [0.212, 0.000, 0.576]]}


no.,N(E_F) (states/eV per atom),size of the total moment (μB/f.u.)
1,1.86,0.01
2,0.61,1.13
3,1.35,1.45
4,1.82,0.00
5,0.80,3.00
6,0.53,0.00